No. 1
{
  "formula": "Ca2SbSe",
  "functional": "PBE-GGA",
  "state": "optimized geometry",
  "lattice": [[0.000, 3.793, 3.793], [3.793, 0.000, 3.793], [3.793, 3.793, 0.000]],
  "species": ["Ca", "Ca", "Sb", "Se"],
  "fractional_positions": [[0.250, 0.250, 0.250], [0.750, 0.750, 0.750], [0.000, 0.000, 0.000], [0.500, 0.500, 0.500]]
}



No. 2
{
  "formula": "CaSbSe2",
  "functional": "PBE-GGA",
  "state": "optimized geometry",
  "lattice": [[2.105, -3.243, 0.000], [2.105, 3.243, 0.000], [0.000, 0.000, 7.876]],
  "species": ["Ca", "Sb", "Se", "Se"],
  "fractional_positions": [[0.000, 0.000, 0.000], [0.000, 0.000, 0.500], [0.500, 0.500, 0.243], [0.500, 0.500, 0.757]]
}



No. 3
{
  "formula": "Ca2SbSe",
  "functional": "PBE-GGA",
  "state": "optimized geometry",
  "lattice": [[-2.166, 2.166, 5.933], [2.166, -2.166, 5.933], [2.166, 2.166, -5.933]],
  "species": ["Ca", "Ca", "Sb", "Se"],
  "fractional_positions": [[0.000, 0.000, 0.000], [0.750, 0.250, 0.500], [0.250, 0.750, 0.500], [0.500, 0.500, 0.000]]
}



Asked for E_form (uncorrected) across the records above, the calculation gives -1.08; -0.70; -1.06 eV/atom in order.
Asked for total energy across the records above, the calculation gives -3.981; -3.974; -3.960 eV per atom in order.